1.
Na2CoAs | PBE-GGA | relaxed Values from VASP.

Geometry as Quantum ESPRESSO input:
```
&SYSTEM
  ibrav = 0, nat = 8, ntyp = 3
/
ATOMIC_SPECIES
Co 58.93 Co.upf
Na 22.99 Na.upf
As 74.92 As.upf
CELL_PARAMETERS angstrom
11.111 0.000 0.000
0.000 11.111 0.000
5.555 5.555 2.169
ATOMIC_POSITIONS crystal
Co 0.250 0.750 0.500
Na 0.375 0.624 0.750
As 0.750 0.250 0.500
Na 0.376 0.125 0.250
Na 0.374 0.625 0.250
Co 0.500 0.500 0.000
Na 0.875 0.626 0.750
As 0.000 0.000 0.000
```

Output
Fermi-level density of states = 1.197 states/eV per atom
E_form = 9.2 kJ per mole of atoms

=====

2.
ErPuSb2 | PBE-GGA | relaxed Values from VASP.

Geometry as Quantum ESPRESSO input:
```
&SYSTEM
  ibrav = 0, nat = 8, ntyp = 3
/
ATOMIC_SPECIES
Sb 121.76 Sb.upf
Er 167.26 Er.upf
Pu 244.00 Pu.upf
CELL_PARAMETERS angstrom
-1.613 4.579 -3.861
-5.172 0.955 3.288
-0.375 6.847 3.283
ATOMIC_POSITIONS crystal
Sb 0.875 0.125 0.251
Er 0.625 0.875 0.750
Er 0.375 0.125 0.250
Pu 0.875 0.625 0.250
Pu 0.125 0.375 0.750
Sb 0.125 0.875 0.749
Sb 0.625 0.375 0.751
Sb 0.375 0.625 0.249
```

Output
Fermi-level density of states = 3.332 states/eV per atom
Excess energy over the best structure of this formula in the dataset = 0.03 eV per formula unit

=====

3.
PrSm3Hg2 | PBE-GGA | relaxed Values from VASP.

Geometry as Quantum ESPRESSO input:
```
&SYSTEM
  ibrav = 0, nat = 12, ntyp = 3
/
ATOMIC_SPECIES
Hg 200.59 Hg.upf
Pr 140.91 Pr.upf
Sm 150.36 Sm.upf
CELL_PARAMETERS angstrom
-3.375 2.194 3.697
-5.428 -2.338 -7.608
3.031 -5.825 6.223
ATOMIC_POSITIONS crystal
Hg 0.512 0.024 0.856
Hg 0.488 0.976 0.144
Pr 0.132 0.263 0.074
Sm 0.306 0.612 0.617
Sm 0.938 0.875 0.598
Sm 0.620 0.239 0.708
Sm 0.380 0.761 0.292
Sm 0.694 0.388 0.383
Sm 0.062 0.125 0.402
Pr 0.868 0.737 0.926
Hg 0.225 0.450 0.848
Hg 0.775 0.550 0.152
```

Output
Fermi-level density of states = 1.022 states/eV per atom
E_form = -24.3 kJ per mole of atoms
Excess energy over the best structure of this formula in the dataset = 0.48 eV per formula unit